[1]
The following is a PBE calculation of a relaxed LiZr4Pb2 crystal, from Alexandria via LeMat-Bulk.

a b c (Å): 4.560 4.560 8.481
angles (deg): 74.41 74.41 90.00
Fractional positions:
Pb: 0.641 0.641 0.718
Pb: 0.359 0.359 0.282
Zr: 0.831 0.831 0.337
Zr: 0.169 0.169 0.663
Zr: 0.000 0.500 0.000
Zr: 0.500 0.000 0.000
Li: 0.000 0.000 0.000

Output
**Crystal system**: tetragonal
**Formation energy**: 6.76 kcal/mol of atoms
**DFT total energy**: -5.92 eV per atom
**V**: 163.1 Å³ per cell



[2]
The following is a PBE calculation of a relaxed LiZr2Pb2 crystal, from Alexandria via LeMat-Bulk.

a b c (Å): 7.348 7.348 4.331
angles (deg): 90.00 90.00 90.00
Fractional positions:
Pb: 0.357 0.857 0.000
Pb: 0.857 0.643 0.000
Pb: 0.643 0.143 0.000
Pb: 0.143 0.357 0.000
Zr: 0.167 0.667 0.500
Zr: 0.667 0.833 0.500
Zr: 0.833 0.333 0.500
Zr: 0.333 0.167 0.500
Li: 0.000 0.000 0.000
Li: 0.500 0.500 0.000

Output
**Crystal system**: tetragonal
**Formation energy**: -1.50 kcal/mol of atoms
**DFT total energy**: -5.35 eV per atom
**Excess energy over the best structure of this formula in the dataset**: 0.0 kJ/mol of formula units
**V**: 233.8 Å³ per cell



[3]
The following is a PBE calculation of a relaxed Li3ZrPb4 crystal, from Alexandria via LeMat-Bulk.

a b c (Å): 5.198 5.196 7.860
angles (deg): 109.21 109.31 90.00
Fractional positions:
Pb: 0.374 0.374 0.748
Pb: 0.626 0.626 0.252
Pb: 0.126 0.127 0.252
Pb: 0.874 0.873 0.748
Zr: 0.500 0.000 0.000
Li: 0.000 0.500 0.000
Li: 0.738 0.238 0.477
Li: 0.262 0.762 0.523

Output
**Crystal system**: monoclinic
**Formation energy**: -4.04 kcal/mol of atoms
**DFT total energy**: -3.82 eV per atom
**V**: 187.8 Å³ per cell



[4]
The following is a PBE calculation of a relaxed Li3ZrPb crystal, from Alexandria via LeMat-Bulk.

a b c (Å): 4.823 4.823 4.823
angles (deg): 90.00 90.00 90.00
Fractional positions:
Pb: 0.000 0.000 0.000
Zr: 0.500 0.500 0.500
Li: 0.000 0.500 0.000
Li: 0.000 0.000 0.500
Li: 0.500 0.000 0.000

Output
**Crystal system**: cubic
**Formation energy**: 12.86 kcal/mol of atoms
**DFT total energy**: -3.04 eV per atom
**Excess energy over the best structure of this formula in the dataset**: 0.0 kJ/mol of formula units
**V**: 112.2 Å³ per cell



[5]
The following is a PBE calculation of a relaxed Li2Pd crystal, from Alexandria via LeMat-Bulk.

a b c (Å): 2.716 4.254 4.253
angles (deg): 60.20 89.68 89.66
Fractional positions:
Li: 0.612 0.667 0.167
Li: 0.388 0.333 0.833
Pd: 0.000 0.000 0.500

Output
**Crystal system**: monoclinic
**Formation energy**: -8.87 kcal/mol of atoms
**DFT total energy**: -3.39 eV per atom
**Excess energy over the best structure of this formula in the dataset**: 0.0 kJ/mol of formula units
**V**: 42.6 Å³ per cell



[6]
The following is a PBE calculation of a relaxed Li3Pd crystal, from Alexandria via LeMat-Bulk.

a b c (Å): 4.406 2.902 4.681
angles (deg): 90.00 90.00 90.00
Fractional positions:
Pd: 0.500 0.000 0.658
Li: 0.000 0.000 0.987
Li: 0.000 0.500 0.528
Li: 0.500 0.500 0.161

Output
**Crystal system**: orthorhombic
**Formation energy**: -6.19 kcal/mol of atoms
**DFT total energy**: -3.00 eV per atom
**Excess energy over the best structure of this formula in the dataset**: 12.7 kJ/mol of formula units
**V**: 59.9 Å³ per cell



[7]
The following is a PBE calculation of a relaxed Li5Pd crystal, from Alexandria via LeMat-Bulk.

a b c (Å): 4.150 4.116 6.087
angles (deg): 109.76 90.00 90.00
Fractional positions:
Pd: 0.000 0.000 0.000
Li: 0.500 0.850 0.700
Li: 0.000 0.655 0.310
Li: 0.500 0.500 0.000
Li: 0.000 0.345 0.690
Li: 0.500 0.150 0.300

Output
**Crystal system**: orthorhombic
**Formation energy**: -4.37 kcal/mol of atoms
**DFT total energy**: -2.65 eV per atom
**Excess energy over the best structure of this formula in the dataset**: 1.3 kJ/mol of formula units
**V**: 97.9 Å³ per cell



[8]
The following is a PBE calculation of a relaxed LiPd crystal, from Alexandria via LeMat-Bulk.

a b c (Å): 9.630 4.548 5.200
angles (deg): 90.00 90.00 90.00
Fractional positions:
Li: 0.080 0.250 0.035
Li: 0.580 0.250 0.465
Li: 0.920 0.750 0.965
Li: 0.420 0.750 0.535
Li: 0.821 0.250 0.724
Li: 0.321 0.250 0.776
Li: 0.179 0.750 0.276
Li: 0.679 0.750 0.224
Pd: 0.073 0.250 0.535
Pd: 0.573 0.250 0.965
Pd: 0.927 0.750 0.465
Pd: 0.427 0.750 0.035
Pd: 0.825 0.250 0.229
Pd: 0.325 0.250 0.271
Pd: 0.175 0.750 0.771
Pd: 0.675 0.750 0.729

Output
**Crystal system**: orthorhombic
**Formation energy**: -8.82 kcal/mol of atoms
**DFT total energy**: -3.94 eV per atom
**V**: 227.8 Å³ per cell



[9]
The following is a PBE calculation of a relaxed LiPd crystal, from Alexandria via LeMat-Bulk.

a b c (Å): 4.157 13.416 3.000
angles (deg): 90.00 90.00 90.00
Fractional positions:
Li: 0.000 0.167 0.500
Li: 0.000 0.833 0.500
Li: 0.500 0.667 0.500
Li: 0.500 0.333 0.500
Li: 0.000 0.000 0.000
Li: 0.500 0.500 0.000
Pd: 0.000 0.671 0.000
Pd: 0.000 0.329 0.000
Pd: 0.500 0.171 0.000
Pd: 0.500 0.829 0.000
Pd: 0.500 0.000 0.500
Pd: 0.000 0.500 0.500

Output
**Crystal system**: orthorhombic
**Formation energy**: -9.15 kcal/mol of atoms
**DFT total energy**: -3.95 eV per atom
**V**: 167.3 Å³ per cell



[10]
The following is a PBE calculation of a relaxed LiPd crystal, from Alexandria via LeMat-Bulk.

a b c (Å): 2.988 2.988 2.988
angles (deg): 90.00 90.00 90.00
Fractional positions:
Pd: 0.000 0.000 0.000
Li: 0.500 0.500 0.500

Output
**Crystal system**: cubic
**Formation energy**: -9.71 kcal/mol of atoms
**DFT total energy**: -3.97 eV per atom
**V**: 26.7 Å³ per cell



[11]
The following is a PBE calculation of a relaxed LiPd5 crystal, from Alexandria via LeMat-Bulk.

a b c (Å): 3.891 3.875 6.230
angles (deg): 108.12 90.00 90.00
Fractional positions:
Pd: 0.000 0.663 0.326
Pd: 0.000 0.337 0.674
Pd: 0.500 0.500 0.000
Pd: 0.500 0.165 0.330
Pd: 0.500 0.835 0.670
Li: 0.000 0.000 0.000

Output
**Crystal system**: orthorhombic
**Formation energy**: -3.89 kcal/mol of atoms
**DFT total energy**: -4.81 eV per atom
**Excess energy over the best structure of this formula in the dataset**: 0.0 kJ/mol of formula units
**V**: 89.3 Å³ per cell



[12]
The following is a PBE calculation of a relaxed LiPd crystal, from Alexandria via LeMat-Bulk.

a b c (Å): 2.892 4.306 13.660
angles (deg): 90.00 90.00 90.00
Fractional positions:
Li: 0.000 0.421 0.667
Li: 0.500 0.579 0.833
Li: 0.500 0.579 0.167
Li: 0.000 0.421 0.333
Li: 0.000 0.705 0.000
Li: 0.500 0.295 0.500
Pd: 0.000 0.080 0.832
Pd: 0.500 0.920 0.668
Pd: 0.500 0.920 0.332
Pd: 0.000 0.080 0.168
Pd: 0.000 0.800 0.500
Pd: 0.500 0.200 0.000

Output
**Crystal system**: orthorhombic
**Formation energy**: -9.62 kcal/mol of atoms
**DFT total energy**: -3.97 eV per atom
**V**: 170.1 Å³ per cell